Record 1
{"formula": "ZnP2NCl", "functional": "GGA-PBE", "state": "relaxed", "cell": [[3.742, 0.000, 0.000], [0.000, 3.742, 0.000], [0.000, 0.000, 6.614]], "species": ["Zn", "P", "P", "N", "Cl"], "fractional_positions": [[0.000, 0.000, 0.000], [0.000, 0.500, 0.500], [0.500, 0.000, 0.500], [0.500, 0.500, 0.500], [0.500, 0.500, 0.000]], "dft_energy_ev_per_atom": -3.6954, "crystal_system": "tetragonal"}

Record 2
{"formula": "BaDyGaS4", "functional": "GGA-PBE", "state": "relaxed", "cell": [[6.556, 0.000, 0.000], [0.000, 6.738, 0.000], [-2.547, 0.000, 8.068]], "species": ["Ba", "Ba", "Dy", "Dy", "Ga", "Ga", "S", "S", "S", "S", "S", "S", "S", "S"], "fractional_positions": [[0.246, 0.250, 0.438], [0.754, 0.750, 0.562], [0.279, 0.250, 0.947], [0.721, 0.750, 0.053], [0.266, 0.750, 0.173], [0.734, 0.250, 0.827], [0.045, 0.750, 0.913], [0.068, 0.750, 0.351], [0.494, 0.506, 0.784], [0.494, 0.994, 0.784], [0.506, 0.006, 0.216], [0.506, 0.494, 0.216], [0.932, 0.250, 0.649], [0.955, 0.250, 0.087]], "dft_energy_ev_per_atom": -5.3240, "crystal_system": "monoclinic"}

Values of uncorrected formation energy, in order: 0.7577 -1.6009, all in eV/atom.